Compound: Li4MnCo2O7
Source: Alexandria via LeMat-Bulk
Functional: PBE with a Hubbard U
Structure: optimized geometry

Structure (CIF):
```
data_Li4MnCo2O7
_chemical_formula_sum 'Li8 Mn2 Co4 O14'
_symmetry_space_group_name_H-M 'P 1'
_symmetry_Int_Tables_number 1
_symmetry_space_group_name_Hall 'P 1'
_cell_length_a 5.059
_cell_length_b 5.083
_cell_length_c 10.047
_cell_angle_alpha 101.21
_cell_angle_beta 99.38
_cell_angle_gamma 98.77
loop_
_atom_site_label
_atom_site_type_symbol
_atom_site_fract_x
_atom_site_fract_y
_atom_site_fract_z
Li1 Li 0.000 0.000 0.000
Li2 Li 0.002 0.993 0.499
Li3 Li 0.151 0.276 0.798
Li4 Li 0.274 0.578 0.067
Li5 Li 0.426 0.859 0.357
Li6 Li 0.576 0.139 0.648
Li7 Li 0.720 0.426 0.934
Li8 Li 0.858 0.715 0.210
Mn1 Mn 0.571 0.143 0.138
Mn2 Mn 0.865 0.712 0.722
Co1 Co 0.138 0.284 0.280
Co2 Co 0.293 0.556 0.568
Co3 Co 0.434 0.854 0.860
Co4 Co 0.718 0.428 0.429
O1 O 0.084 0.628 0.395
O2 O 0.085 0.650 0.881
O3 O 0.211 0.896 0.688
O4 O 0.235 0.962 0.184
O5 O 0.352 0.223 0.472
O6 O 0.377 0.192 0.969
O7 O 0.510 0.480 0.256
O8 O 0.525 0.525 0.754
O9 O 0.624 0.809 0.034
O10 O 0.659 0.759 0.543
O11 O 0.773 0.034 0.817
O12 O 0.777 0.094 0.316
O13 O 0.909 0.348 0.114
O14 O 0.921 0.374 0.602
```

## Properties
Energy relative to the lowest polymorph listed for this composition, eV/atom: 0.041